1.
Computed, not measured: an optimized crystal structure of NbGaSCl2 at the GGA-PBEsol level of DFT.

Lattice parameters (Å, degrees): 4.653 4.653 4.786 90.00 90.00 90.00
Atoms (fractional coordinates):
Nb 0.000 0.000 0.000
Ga 0.500 0.500 0.500
S 0.500 0.500 0.000
Cl 0.000 0.500 0.500
Cl 0.500 0.000 0.500

Results
Polymorph energy (0 for the lowest one): 0.827 eV per atom
M_tot: 0.679 μB per atom
ΔE_f (raw): 0.246 eV per atom
Calculated density: 4.3 g/cm3

2.
Computed, not measured: an optimized crystal structure of GaNiCl2 at the GGA-PBEsol level of DFT.

Lattice parameters (Å, degrees): 8.335 8.335 8.335 24.73 24.73 24.73
Atoms (fractional coordinates):
Ga 0.000 0.000 0.000
Ni 0.500 0.500 0.500
Cl 0.414 0.414 0.414
Cl 0.586 0.586 0.586

Results
M_tot: 0.252 μB per atom
ΔE_f (raw): -0.134 eV per atom
Calculated density: 3.7 g/cm3

3.
Computed, not measured: an optimized crystal structure of GaNiS2Cl at the GGA-PBEsol level of DFT.

Lattice parameters (Å, degrees): 4.407 4.407 4.674 90.00 90.00 90.00
Atoms (fractional coordinates):
Ga 0.000 0.000 0.000
Ni 0.500 0.500 0.500
S 0.000 0.500 0.500
S 0.500 0.000 0.500
Cl 0.500 0.500 0.000

Results
M_tot: 0.000 μB per atom
ΔE_f (raw): 0.035 eV per atom
Calculated density: 4.2 g/cm3

4.
Computed, not measured: an optimized crystal structure of GaNiSb2Cl at the GGA-PBEsol level of DFT.

Lattice parameters (Å, degrees): 4.954 4.954 4.552 90.00 90.00 90.00
Atoms (fractional coordinates):
Ga 0.000 0.000 0.000
Ni 0.000 0.000 0.500
Sb 0.000 0.500 0.500
Sb 0.500 0.000 0.500
Cl 0.500 0.500 0.000

Results
M_tot: 0.001 μB per atom
ΔE_f (raw): 0.041 eV per atom
Calculated density: 6.1 g/cm3

5.
Computed, not measured: an optimized crystal structure of GaClO2 at the GGA-PBEsol level of DFT.

Lattice parameters (Å, degrees): 5.619 5.619 5.619 123.14 123.14 84.65
Atoms (fractional coordinates):
Ga 0.000 0.000 0.000
Ga 0.750 0.250 0.500
Cl 0.250 0.750 0.500
Cl 0.500 0.500 0.000
O 0.010 0.625 0.885
O 0.375 0.260 0.385
O 0.740 0.125 0.115
O 0.875 0.990 0.615

Results
M_tot: 0.502 μB per atom
ΔE_f (raw): -0.566 eV per atom
Calculated density: 3.8 g/cm3

6.
Computed, not measured: an optimized crystal structure of GaOsClO2 at the GGA-PBEsol level of DFT.

Lattice parameters (Å, degrees): 3.820 3.820 5.274 90.00 90.00 90.00
Atoms (fractional coordinates):
Ga 0.000 0.000 0.000
Os 0.500 0.500 0.500
Cl 0.500 0.500 0.000
O 0.000 0.500 0.500
O 0.500 0.000 0.500

Results
M_tot: 0.000 μB per atom
ΔE_f (raw): -0.484 eV per atom
Calculated density: 7.1 g/cm3

7.
Computed, not measured: an optimized crystal structure of GaReCl6O2 at the GGA-PBEsol level of DFT.

Lattice parameters (Å, degrees): 11.945 8.414 11.132 90.00 109.37 90.00
Atoms (fractional coordinates):
Ga 0.247 0.146 0.125
Ga 0.247 0.354 0.625
Ga 0.753 0.646 0.375
Ga 0.753 0.854 0.875
Re 0.256 0.719 0.125
Re 0.256 0.781 0.625
Re 0.744 0.219 0.375
Re 0.744 0.281 0.875
Cl 0.094 0.737 0.681
Cl 0.094 0.763 0.181
Cl 0.114 0.218 0.667
Cl 0.114 0.282 0.167
Cl 0.162 0.536 0.473
Cl 0.162 0.964 0.973
Cl 0.330 0.532 0.780
Cl 0.330 0.968 0.280
Cl 0.381 0.226 0.578
Cl 0.381 0.274 0.078
Cl 0.414 0.707 0.571
Cl 0.414 0.793 0.071
Cl 0.586 0.207 0.929
Cl 0.586 0.293 0.429
Cl 0.619 0.726 0.922
Cl 0.619 0.774 0.422
Cl 0.670 0.032 0.720
Cl 0.670 0.468 0.220
Cl 0.838 0.036 0.027
Cl 0.838 0.464 0.527
Cl 0.886 0.718 0.833
Cl 0.886 0.782 0.333
Cl 0.906 0.237 0.819
Cl 0.906 0.263 0.319
O 0.193 0.595 0.000
O 0.193 0.905 0.500
O 0.329 0.597 0.249
O 0.329 0.903 0.749
O 0.671 0.097 0.251
O 0.671 0.403 0.751
O 0.807 0.095 0.500
O 0.807 0.405 0.000

Results
M_tot: 0.000 μB per atom
ΔE_f (raw): -0.987 eV per atom
Calculated density: 3.2 g/cm3

8.
Computed, not measured: an optimized crystal structure of GaS2ClO at the GGA-PBEsol level of DFT.

Lattice parameters (Å, degrees): 3.852 3.852 5.800 90.00 90.00 90.00
Atoms (fractional coordinates):
Ga 0.000 0.000 0.000
S 0.000 0.500 0.500
S 0.500 0.000 0.500
Cl 0.500 0.500 0.000
O 0.500 0.500 0.500

Results
M_tot: 0.000 μB per atom
ΔE_f (raw): 0.209 eV per atom
Calculated density: 3.6 g/cm3

Number 1: total DFT energy (no corrections) -0.157 hartree per atom. Number 2: total DFT energy (no corrections) -0.129 hartree per atom. Number 3: total DFT energy (no corrections) -0.148 hartree per atom. Number 4: total DFT energy (no corrections) -0.150 hartree per atom. Number 5: total DFT energy (no corrections) -0.166 hartree per atom. Number 6: total DFT energy (no corrections) -0.224 hartree per atom. Number 7: total DFT energy (no corrections) -0.180 hartree per atom. Number 8: total DFT energy (no corrections) -0.135 hartree per atom.